A plane-wave DFT calculation with PBE was carried out for an optimized crystal structure of Tb9NdTm2.

a = 11.2486 Å, b = 11.2486 Å, c = 3.5115 Å
α = 90.00°, β = 90.00°, γ = 120.00°
Space group P6/mmm (No. 191)
Symmetry-distinct sites (fractional):
1 Tb 0.0000 0.5000 0.0000 x3
2 Tb 0.1782 0.3564 0.5000 x6
3 Nd 0.0000 0.0000 0.0000 x1
4 Tm 0.3333 0.6667 0.0000 x2

- energy above the lowest structure with this stoichiometry (meV per atom) = 14
- ΔH_f (0 K) (eV per atom) = 0.04

A plane-wave DFT calculation with PBE was carried out for an optimized crystal structure of Li3TiZn6.

a = 8.5592 Å, b = 4.0029 Å, c = 8.7543 Å
α = 90.00°, β = 91.27°, γ = 90.00°
Space group P2_1/m (No. 11)
Symmetry-distinct sites (fractional):
1 Li 0.0610 0.2500 0.4040 x2
2 Li 0.1577 0.7500 0.1986 x2
3 Li 0.2486 0.2500 0.9883 x2
4 Ti 0.4477 0.2500 0.6021 x2
5 Zn 0.0429 0.7500 0.8957 x2
6 Zn 0.1387 0.2500 0.6968 x2
7 Zn 0.2485 0.7500 0.5036 x2
8 Zn 0.3435 0.7500 0.8064 x2
9 Zn 0.3569 0.2500 0.2966 x2
10 Zn 0.4502 0.7500 0.0980 x2

- ΔH_f (0 K) (eV per atom) = -0.15

A plane-wave DFT calculation with PBE was carried out for an optimized crystal structure of CaEuLu2.

a = 3.6152 Å, b = 3.6152 Å, c = 36.2740 Å
α = 90.00°, β = 90.00°, γ = 120.00°
Space group R-3m (No. 166, hexagonal axes)
Symmetry-distinct sites (fractional):
1 Ca 0.0000 0.0000 0.0000 x3
2 Eu 0.0000 0.0000 0.5000 x3
3 Lu 0.0000 0.0000 0.2487 x6

- energy above the lowest structure with this stoichiometry (meV per atom) = 0
- ΔH_f (0 K) (eV per atom) = 0.15

A plane-wave DFT calculation with PBE was carried out for an optimized crystal structure of ZrI.

a = 3.5598 Å, b = 3.5867 Å, c = 19.6950 Å
α = 90.00°, β = 90.00°, γ = 90.00°
Space group Amm2 (No. 38)
Symmetry-distinct sites (fractional):
1 Zr 0.0000 0.0000 0.0000 x2
2 Zr 0.5000 0.0000 0.3966 x2
3 I 0.0000 0.0000 0.8071 x2
4 I 0.5000 0.0000 0.1171 x2

- ΔE_f (raw) (eV/f.u.) = -0.68

A plane-wave DFT calculation with PBE was carried out for an optimized crystal structure of Li2CaCd.

a = 4.2938 Å, b = 4.9428 Å, c = 8.9448 Å
α = 90.00°, β = 90.00°, γ = 90.00°
Space group Immm (No. 71)
Symmetry-distinct sites (fractional):
1 Li 0.0000 0.0000 0.2333 x4
2 Ca 0.0000 0.5000 0.0000 x2
3 Cd 0.0000 0.5000 0.5000 x2

- energy above the lowest structure with this stoichiometry (meV per atom) = 36
- ΔH_f (0 K) (eV per atom) = -0.15

A plane-wave DFT calculation with PBE was carried out for an optimized crystal structure of NaHf2TcOs.

a = 5.0701 Å, b = 5.0701 Å, c = 4.7403 Å
α = 90.00°, β = 90.00°, γ = 90.00°
Space group P4/mmm (No. 123)
Symmetry-distinct sites (fractional):
1 Na 0.0000 0.0000 0.0000 x1
2 Hf 0.0000 0.5000 0.5000 x2
3 Tc 0.5000 0.5000 0.0000 x1
4 Os 0.5000 0.5000 0.5000 x1

- ΔH_f (0 K) (eV per atom) = 0.74

A plane-wave DFT calculation with PBE was carried out for an optimized crystal structure of Li2CeZnCd4.

a = 4.6526 Å, b = 4.6526 Å, c = 27.8211 Å
α = 90.00°, β = 90.00°, γ = 120.00°
Space group R-3m (No. 166, hexagonal axes)
Symmetry-distinct sites (fractional):
1 Li 0.0000 0.0000 0.2350 x6
2 Ce 0.0000 0.0000 0.0000 x3
3 Zn 0.0000 0.0000 0.5000 x3
4 Cd 0.0000 0.0000 0.1270 x6
5 Cd 0.0000 0.0000 0.3985 x6

- ΔH_f (0 K) (eV per atom) = -0.13

A plane-wave DFT calculation with PBE was carried out for an optimized crystal structure of ReTe2Au.

a = 3.5617 Å, b = 3.5617 Å, c = 7.5253 Å
α = 90.00°, β = 90.00°, γ = 90.00°
Space group P4mm (No. 99)
Symmetry-distinct sites (fractional):
1 Re 0.0000 0.0000 0.0000 x1
2 Te 0.0000 0.0000 0.6339 x1
3 Te 0.5000 0.5000 0.1818 x1
4 Au 0.5000 0.5000 0.7904 x1

- energy above the lowest structure with this stoichiometry (meV per atom) = 254
- ΔE_f (raw) (eV/f.u.) = 2.10

A plane-wave DFT calculation with PBE was carried out for an optimized crystal structure of InSi2Br.

a = 6.9871 Å, b = 6.9871 Å, c = 6.9871 Å
α = 90.00°, β = 90.00°, γ = 90.00°
Space group Fm-3m (No. 225)
Symmetry-distinct sites (fractional):
1 In 0.0000 0.0000 0.0000 x4
2 Si 0.2500 0.2500 0.2500 x8
3 Br 0.0000 0.0000 0.5000 x4

- energy above the lowest structure with this stoichiometry (meV per atom) = 638
- ΔE_f (raw) (eV/f.u.) = 2.61

A plane-wave DFT calculation with PBE was carried out for an optimized crystal structure of BaLa2Au.

a = 7.8883 Å, b = 7.8883 Å, c = 7.8883 Å
α = 90.00°, β = 90.00°, γ = 90.00°
Space group Fm-3m (No. 225)
Symmetry-distinct sites (fractional):
1 Ba 0.0000 0.0000 0.0000 x4
2 La 0.2500 0.2500 0.2500 x8
3 Au 0.0000 0.0000 0.5000 x4

- energy above the lowest structure with this stoichiometry (meV per atom) = 251
- ΔH_f (0 K) (eV per atom) = -0.07

A plane-wave DFT calculation with PBE was carried out for an optimized crystal structure of PrGdFeCu.

a = 7.0228 Å, b = 7.0228 Å, c = 7.0228 Å
α = 90.00°, β = 90.00°, γ = 90.00°
Space group F-43m (No. 216)
Symmetry-distinct sites (fractional):
1 Pr 0.0000 0.0000 0.0000 x4
2 Gd 0.0000 0.0000 0.5000 x4
3 Fe 0.2500 0.2500 0.2500 x4
4 Cu 0.2500 0.2500 0.7500 x4

- ΔH_f (0 K) (eV per atom) = 0.06

A plane-wave DFT calculation with PBE was carried out for an optimized crystal structure of Pm2RhF.

a = 3.9724 Å, b = 3.9724 Å, c = 24.1477 Å
α = 90.00°, β = 90.00°, γ = 120.00°
Space group R3m (No. 160, hexagonal axes)
Symmetry-distinct sites (fractional):
1 Pm 0.0000 0.0000 0.0000 x3
2 Pm 0.0000 0.0000 0.1987 x3
3 Rh 0.0000 0.0000 0.6053 x3
4 F 0.0000 0.0000 0.8194 x3

- energy above the lowest structure with this stoichiometry (meV per atom) = 163
- ΔE_f (raw) (eV/f.u.) = -6.06

A plane-wave DFT calculation with PBE was carried out for an optimized crystal structure of Rb2LaRhI6.

a = 12.0414 Å, b = 12.0414 Å, c = 12.0414 Å
α = 90.00°, β = 90.00°, γ = 90.00°
Space group Fm-3m (No. 225)
Symmetry-distinct sites (fractional):
1 Rb 0.2500 0.2500 0.2500 x8
2 La 0.0000 0.0000 0.0000 x4
3 Rh 0.0000 0.0000 0.5000 x4
4 I 0.0000 0.0000 0.2613 x24

- ΔE_f (raw) (eV/f.u.) = -10.53

A plane-wave DFT calculation with PBE was carried out for an optimized crystal structure of TbHf2Th.

a = 4.7604 Å, b = 4.7604 Å, c = 4.7028 Å
α = 90.00°, β = 90.00°, γ = 90.00°
Space group P4/mmm (No. 123)
Symmetry-distinct sites (fractional):
1 Tb 0.0000 0.0000 0.0000 x1
2 Hf 0.0000 0.5000 0.5000 x2
3 Th 0.5000 0.5000 0.0000 x1

- energy above the lowest structure with this stoichiometry (meV per atom) = 0
- ΔH_f (0 K) (eV per atom) = 0.17

Calculated Fermi-level density of states in order - 15.0, 4.9, 6.0, 1.1, 2.5, 4.6, 11.5, 3.0, 2.3, 9.0, 5.6, 0.6, 0.0, 5.5 states/eV/f.u.
Calculated calculated total energy in order - -4.5802, -2.2787, -5.1818, -5.3910, -1.8343, -7.8262, -1.9660, -4.9769, -3.1611, -3.8341, -7.7974, -6.1967, -3.4049, -7.8157 eV per atom
Calculated volume in order - 32.1, 15.0, 34.2, 31.4, 23.7, 24.4, 21.7, 23.9, 21.3, 30.7, 21.6, 27.5, 43.6, 26.6 A^3/atom